The following is a DFT calculation (PBE) of a geometry-optimized CeNi4 structure.

Lattice parameters (Å, degrees): 5.429 5.429 5.429 93.72 93.72 150.48
Positions (direct):
Ce1 0.000 0.000 0.000
Ni1 0.000 0.690 0.690
Ni2 0.310 0.000 0.310
Ni3 0.690 0.000 0.690
Ni4 0.000 0.310 0.310

total energy = -5.448 eV per atom
energy of formation = 0.36 eV per atom
crystal system = tetragonal
size of the total moment = 0.00 μB per cell